Entry 1:
VASP calculation (PBE-GGA) on a relaxed NiTeBr2 crystal.

Summary:
Energy above the most stable polymorph in this dataset ... 51.1 meV/atom
Energy relative to the elements, uncorrected ... -0.197 eV/atom
Calculated total energy ... -13.06 eV per formula unit

a b c (Å): 7.396 7.396 7.396
angles (deg): 151.95 135.18 53.71
Fractional positions:
Br 0.072 0.072 0.000
Te 0.601 0.101 0.500
Br 0.354 0.854 0.500
Ni 0.474 0.474 0.000

---

Entry 2:
VASP calculation (PBE-GGA) on a relaxed DyHoTl crystal.

Summary:
Energy above the most stable polymorph in this dataset ... 0.0 meV/atom
DFT formation energy ... -0.256 eV/atom
Calculated total energy ... -12.31 eV per formula unit

a b c (Å): 5.396 5.396 6.714
angles (deg): 90.00 90.00 119.97
Each line ends with the local moment (μB).
Fractional positions:
Ho 0.667 0.833 0.750  0.13
Dy 0.000 0.500 0.500  0.17
Dy 0.000 0.500 0.000  0.17
Tl 0.333 0.167 0.750  0.00
Tl 0.667 0.833 0.250  0.00
Ho 0.333 0.167 0.250  0.13

---

Entry 3:
VASP calculation (PBE-GGA) on a relaxed Al3CuRe crystal.

Summary:
Energy above the most stable polymorph in this dataset ... 0.0 meV/atom
DFT formation energy ... 0.607 eV/atom
Calculated total energy ... -24.74 eV per formula unit

a b c (Å): 4.751 4.751 4.751
angles (deg): 90.00 90.00 90.00
Fractional positions:
Re 0.000 0.000 0.000
Cu 0.500 0.500 0.500
Al 0.000 0.000 0.500
Al 0.500 0.000 0.000
Al 0.000 0.500 0.000

---

Entry 4:
VASP calculation (PBE-GGA) on a relaxed Be4Pt2Cl crystal.

Summary:
Energy relative to the elements, uncorrected ... 0.337 eV/atom
Calculated total energy ... -26.47 eV per formula unit

a b c (Å): 4.018 4.018 6.680
angles (deg): 72.50 72.50 90.00
Fractional positions:
Be 0.198 0.198 0.605
Pt 0.621 0.621 0.758
Pt 0.379 0.379 0.242
Be 0.000 0.500 0.000
Cl 0.000 0.000 0.000
Be 0.500 0.000 0.000
Be 0.802 0.802 0.395